Sr6AsSe4 | PBE-GGA | optimized geometry

Results
For the uncorrected formation energy, the calculation gives -1714 meV per atom. Its space group is Cmcm, No. 63.

Cell: 4.4346 7.5963 22.4119 Å, 90.00 90.00 106.97°
Positions (direct):
Se  0.4087  0.8174  0.1252
Sr  0.0487  0.0974  0.3309
Sr  0.5000  0.0000  0.0000
Se  0.1381  0.2762  0.4565
Sr  0.5000  0.0000  0.5000
Sr  0.3153  0.6306  0.2500
As  0.6591  0.3182  0.2500
Se  0.8619  0.7238  0.9565
Sr  0.9513  0.9026  0.8309
Sr  0.9513  0.9026  0.6691
Sr  0.2255  0.4509  0.5854
Se  0.1381  0.2762  0.0435
Sr  0.7745  0.5491  0.0854
Se  0.5913  0.1826  0.8748
Se  0.8619  0.7238  0.5435
Sr  0.0487  0.0974  0.1691
Sr  0.7745  0.5491  0.4146
Se  0.5913  0.1826  0.6252
Sr  0.2255  0.4509  0.9146
Sr  0.6847  0.3694  0.7500
Se  0.4087  0.8174  0.3748
As  0.3409  0.6818  0.7500